VASP calculation (PBE) on a geometry-optimized LiMgTl6 structure. Values from VASP.

Output
The total magnetization is 0.000 μB per cell. The polymorph energy (0 for the lowest one) is 0 meV per atom. The space group is Cmmm, No. 65. For the formation energy, the calculation gives -0.0189 eV/atom. As for the total energy: -2.232 eV per atom. The density of states at the Fermi level is 4.37 states/eV/cell.

Cell and atoms, written as Quantum ESPRESSO input:
```
&SYSTEM
  ibrav = 0, nat = 8, ntyp = 3
/
ATOMIC_SPECIES
Mg 24.30 Mg.upf
Tl 204.38 Tl.upf
Li 6.94 Li.upf
CELL_PARAMETERS angstrom
5.048 0.000 0.000
0.000 6.600 -0.012
0.000 0.072 6.600
ATOMIC_POSITIONS crystal
Mg 0.500 0.500 0.500
Tl 0.000 0.294 0.706
Tl 0.000 0.706 0.294
Tl 0.500 0.000 0.500
Tl 0.000 0.799 0.799
Tl 0.000 0.201 0.201
Tl 0.500 0.500 0.000
Li 0.500 0.000 0.000
```

VASP calculation (PBE) on a geometry-optimized Li3Mg3Tl2 structure. Values from VASP.

Output
The total magnetization is 0.000 μB per cell. The space group is R3m, No. 160. For the formation energy, the calculation gives -0.1576 eV/atom. As for the total energy: -2.065 eV per atom. The density of states at the Fermi level is 2.01 states/eV/cell.

Cell and atoms, written as Quantum ESPRESSO input:
```
&SYSTEM
  ibrav = 0, nat = 8, ntyp = 3
/
ATOMIC_SPECIES
Mg 24.30 Mg.upf
Tl 204.38 Tl.upf
Li 6.94 Li.upf
CELL_PARAMETERS angstrom
4.666 0.000 1.406
2.121 4.156 1.406
0.003 0.002 8.434
ATOMIC_POSITIONS crystal
Mg 0.625 0.625 0.125
Mg 0.244 0.244 0.268
Mg 0.755 0.755 0.736
Tl 0.497 0.497 0.510
Tl 0.004 0.004 0.987
Li 0.878 0.878 0.366
Li 0.124 0.124 0.628
Li 0.373 0.373 0.881
```

VASP calculation (PBE) on a geometry-optimized LiMg2Tl structure. Values from VASP.

Output
The total magnetization is 0.000 μB per cell. The polymorph energy (0 for the lowest one) is 98 meV per atom. The space group is R-3m, No. 166. For the formation energy, the calculation gives -0.0326 eV/atom. As for the total energy: -1.900 eV per atom. The density of states at the Fermi level is 0.32 states/eV/cell.

Cell and atoms, written as Quantum ESPRESSO input:
```
&SYSTEM
  ibrav = 0, nat = 4, ntyp = 3
/
ATOMIC_SPECIES
Li 6.94 Li.upf
Mg 24.30 Mg.upf
Tl 204.38 Tl.upf
CELL_PARAMETERS angstrom
-7.652 4.790 -4.771
-9.404 2.800 -2.827
-8.317 5.682 -1.678
ATOMIC_POSITIONS crystal
Li 0.750 0.750 0.750
Mg 0.497 0.497 0.497
Mg 0.003 0.003 0.003
Tl 0.250 0.250 0.250
```

VASP calculation (PBE) on a geometry-optimized Li4Mg2Tl structure. Values from VASP.

Output
The total magnetization is 0.000 μB per cell. The polymorph energy (0 for the lowest one) is 210 meV per atom. The space group is Cmmm, No. 65. For the formation energy, the calculation gives 0.0908 eV/atom. As for the total energy: -1.796 eV per atom. The density of states at the Fermi level is 3.33 states/eV/cell.

Cell and atoms, written as Quantum ESPRESSO input:
```
&SYSTEM
  ibrav = 0, nat = 7, ntyp = 3
/
ATOMIC_SPECIES
Li 6.94 Li.upf
Mg 24.30 Mg.upf
Tl 204.38 Tl.upf
CELL_PARAMETERS angstrom
-0.133 4.548 2.140
-5.043 0.691 -1.783
0.494 -2.679 5.723
ATOMIC_POSITIONS crystal
Li 0.000 0.245 0.490
Li 0.500 0.624 0.249
Li 0.000 0.755 0.510
Li 0.500 0.376 0.751
Mg 0.500 0.127 0.255
Mg 0.500 0.873 0.745
Tl 0.000 0.500 0.000
```

VASP calculation (PBE) on a geometry-optimized Li3Mg7Tl structure. Values from VASP.

Output
The total magnetization is 0.000 μB per cell. The space group is P3m1, No. 156. For the formation energy, the calculation gives 0.0089 eV/atom. As for the total energy: -1.743 eV per atom. The density of states at the Fermi level is 4.32 states/eV/cell.

Cell and atoms, written as Quantum ESPRESSO input:
```
&SYSTEM
  ibrav = 0, nat = 11, ntyp = 3
/
ATOMIC_SPECIES
Mg 24.30 Mg.upf
Li 6.94 Li.upf
Tl 204.38 Tl.upf
CELL_PARAMETERS angstrom
7.643 0.000 0.000
0.000 6.219 0.000
0.000 -3.109 5.386
ATOMIC_POSITIONS crystal
Mg 0.456 0.833 0.167
Mg 0.109 0.167 0.833
Mg 0.456 0.833 0.667
Mg 0.456 0.333 0.167
Mg 0.109 0.666 0.833
Mg 0.109 0.167 0.334
Mg 0.104 0.667 0.333
Li 0.782 0.498 0.502
Li 0.782 0.498 0.995
Li 0.782 0.005 0.502
Tl 0.469 0.333 0.667
```

VASP calculation (PBE) on a geometry-optimized Li4Mg3Tl4 structure. Values from VASP.

Output
The total magnetization is 0.000 μB per cell. The polymorph energy (0 for the lowest one) is 0 meV per atom. The space group is P-1, No. 2. For the formation energy, the calculation gives -0.1474 eV/atom. As for the total energy: -2.139 eV per atom. The density of states at the Fermi level is 3.58 states/eV/cell.

Cell and atoms, written as Quantum ESPRESSO input:
```
&SYSTEM
  ibrav = 0, nat = 11, ntyp = 3
/
ATOMIC_SPECIES
Li 6.94 Li.upf
Mg 24.30 Mg.upf
Tl 204.38 Tl.upf
CELL_PARAMETERS angstrom
-1.738 1.398 2.476
2.153 -2.206 2.769
11.532 13.144 -1.558
ATOMIC_POSITIONS crystal
Li 0.729 0.727 0.456
Li 0.093 0.091 0.184
Li 0.907 0.909 0.816
Li 0.271 0.273 0.544
Mg 0.000 0.000 0.000
Mg 0.360 0.362 0.721
Mg 0.640 0.638 0.279
Tl 0.187 0.185 0.373
Tl 0.813 0.815 0.627
Tl 0.555 0.549 0.102
Tl 0.445 0.451 0.898
```

VASP calculation (PBE) on a geometry-optimized LiMg2Tl structure. Values from VASP.

Output
The total magnetization is 0.000 μB per cell. The polymorph energy (0 for the lowest one) is 11 meV per atom. The space group is Pmmn, No. 59. For the formation energy, the calculation gives -0.1197 eV/atom. As for the total energy: -1.987 eV per atom. The density of states at the Fermi level is 2.99 states/eV/cell.

Cell and atoms, written as Quantum ESPRESSO input:
```
&SYSTEM
  ibrav = 0, nat = 8, ntyp = 3
/
ATOMIC_SPECIES
Tl 204.38 Tl.upf
Mg 24.30 Mg.upf
Li 6.94 Li.upf
CELL_PARAMETERS angstrom
5.066 0.000 0.000
0.000 5.478 0.000
0.000 0.000 6.244
ATOMIC_POSITIONS crystal
Tl 0.500 0.326 0.000
Tl 0.000 0.674 0.500
Mg 0.000 0.172 0.252
Mg 0.000 0.172 0.748
Mg 0.500 0.828 0.752
Mg 0.500 0.828 0.248
Li 0.500 0.347 0.500
Li 0.000 0.653 0.000
```

VASP calculation (PBE) on a geometry-optimized Li3Mg6Tl2 structure. Values from VASP.

Output
The total magnetization is 0.000 μB per cell. The space group is P-1, No. 2. For the formation energy, the calculation gives -0.0748 eV/atom. As for the total energy: -1.897 eV per atom. The density of states at the Fermi level is 2.53 states/eV/cell.

Cell and atoms, written as Quantum ESPRESSO input:
```
&SYSTEM
  ibrav = 0, nat = 11, ntyp = 3
/
ATOMIC_SPECIES
Mg 24.30 Mg.upf
Li 6.94 Li.upf
Tl 204.38 Tl.upf
CELL_PARAMETERS angstrom
5.039 -1.588 0.946
-1.804 6.908 3.034
1.306 6.299 11.493
ATOMIC_POSITIONS crystal
Mg 0.623 0.814 0.545
Mg 0.377 0.186 0.455
Mg 0.632 0.253 0.193
Mg 0.147 0.574 0.340
Mg 0.853 0.426 0.660
Mg 0.368 0.747 0.807
Li 0.878 0.890 0.281
Li 0.122 0.110 0.719
Li 0.000 0.000 0.000
Tl 0.644 0.410 0.904
Tl 0.356 0.590 0.096
```

VASP calculation (PBE) on a geometry-optimized Li6MgTl2 structure. Values from VASP.

Output
The total magnetization is 0.000 μB per cell. The polymorph energy (0 for the lowest one) is 5 meV per atom. The space group is Pnnm, No. 58. For the formation energy, the calculation gives -0.1916 eV/atom. As for the total energy: -2.171 eV per atom. The density of states at the Fermi level is 5.59 states/eV/cell.

Cell and atoms, written as Quantum ESPRESSO input:
```
&SYSTEM
  ibrav = 0, nat = 18, ntyp = 3
/
ATOMIC_SPECIES
Li 6.94 Li.upf
Tl 204.38 Tl.upf
Mg 24.30 Mg.upf
CELL_PARAMETERS angstrom
4.627 0.000 0.197
0.000 8.385 0.000
-0.368 0.000 8.655
ATOMIC_POSITIONS crystal
Li 0.000 0.660 0.562
Li 0.500 0.511 0.666
Li 0.500 0.181 0.613
Li 0.500 0.840 0.062
Li 0.000 0.319 0.113
Li 0.000 0.681 0.887
Li 0.500 0.819 0.387
Li 0.000 0.989 0.166
Li 0.500 0.160 0.938
Li 0.500 0.489 0.334
Li 0.000 0.011 0.834
Li 0.000 0.340 0.438
Tl 0.500 0.843 0.725
Tl 0.500 0.157 0.275
Tl 0.000 0.657 0.225
Tl 0.000 0.343 0.775
Mg 0.500 0.500 0.000
Mg 0.000 0.000 0.500
```

VASP calculation (PBE) on a geometry-optimized Li2Mg2Tl structure. Values from VASP.

Output
The total magnetization is 0.000 μB per cell. The polymorph energy (0 for the lowest one) is 5 meV per atom. The space group is Imma, No. 74. For the formation energy, the calculation gives -0.0568 eV/atom. As for the total energy: -1.933 eV per atom. The density of states at the Fermi level is 1.87 states/eV/cell.

Cell and atoms, written as Quantum ESPRESSO input:
```
&SYSTEM
  ibrav = 0, nat = 10, ntyp = 3
/
ATOMIC_SPECIES
Li 6.94 Li.upf
Tl 204.38 Tl.upf
Mg 24.30 Mg.upf
CELL_PARAMETERS angstrom
-3.769 -2.636 2.095
-1.159 -0.738 -3.014
9.756 -8.906 0.248
ATOMIC_POSITIONS crystal
Li 0.262 0.012 0.523
Li 0.363 0.113 0.725
Li 0.637 0.887 0.275
Li 0.738 0.988 0.477
Tl 0.166 0.416 0.333
Tl 0.834 0.584 0.667
Mg 0.943 0.193 0.887
Mg 0.453 0.703 0.906
Mg 0.547 0.297 0.094
Mg 0.057 0.807 0.113
```